# 1
PmPuMgGe | PBE-GGA | relaxed

The mass density is 8.1 g cm⁻³. For the formation energy, the calculation gives -210 meV/atom. The calculation puts the total magnetization at 25.61 Bohr magnetons per cell.

The space group is F-43m (No. 216) and the conventional cell measures 7.3694, 7.3694 and 7.3694 Å, with angles of 90.00, 90.00 and 90.00 degrees. The inequivalent atoms are Pm at (0.0000, 0.0000, 0.0000), Pu at (0.0000, 0.0000, 0.5000), Mg at (0.2500, 0.2500, 0.2500) and Ge at (0.2500, 0.2500, 0.7500).

# 2
Pm3MgGe6Rh2 | PBE-GGA | relaxed

The mass density is 7.2 g cm⁻³. For the formation energy, the calculation gives -396 meV/atom. The calculation puts the total magnetization at 0.00 Bohr magnetons per cell.

The space group is P-3m1 (No. 164) and the conventional cell measures 6.0217, 6.0217 and 8.1272 Å, with angles of 90.00, 90.00 and 120.00 degrees. The inequivalent atoms are Pm at (0.0000, 0.0000, 0.0000), Pm at (0.3333, 0.6667, 0.6196), Mg at (0.0000, 0.0000, 0.5000), Ge at (0.1892, 0.3783, 0.2738) and Rh at (0.3333, 0.6667, 0.0285).

# 3
Pm2MgGe3Rh4 | PBE-GGA | relaxed

The mass density is 8.4 g cm⁻³. For the formation energy, the calculation gives -826 meV/atom. The calculation puts the total magnetization at 0.00 Bohr magnetons per cell.

The space group is P-4m2 (No. 115) and the conventional cell measures 4.1787, 4.1787 and 10.6442 Å, with angles of 90.00, 90.00 and 90.00 degrees. The inequivalent atoms are Pm at (0.0000, 0.5000, 0.2434), Mg at (0.0000, 0.0000, 0.5000), Ge at (0.0000, 0.5000, 0.8727), Ge at (0.5000, 0.5000, 0.5000), Rh at (0.0000, 0.0000, 0.0000), Rh at (0.0000, 0.5000, 0.6417) and Rh at (0.5000, 0.5000, 0.0000).

# 4
PmMg2Ge2Rh | PBE-GGA | relaxed

The mass density is 5.1 g cm⁻³. For the formation energy, the calculation gives -245 meV/atom. The calculation puts the total magnetization at 0.00 Bohr magnetons per cell.

The space group is I4/mmm (No. 139) and the conventional cell measures 4.1117, 4.1117 and 16.8533 Å, with angles of 90.00, 90.00 and 90.00 degrees. The inequivalent atoms are Pm at (0.0000, 0.0000, 0.0000), Mg at (0.0000, 0.5000, 0.2500), Ge at (0.0000, 0.0000, 0.3584) and Rh at (0.0000, 0.0000, 0.5000).

# 5
PmMgGe2Rh5 | PBE-GGA | relaxed

The mass density is 8.7 g cm⁻³. For the formation energy, the calculation gives -427 meV/atom. The calculation puts the total magnetization at 0.00 Bohr magnetons per cell.

The space group is P4/mmm (No. 123) and the conventional cell measures 4.5778, 4.5778 and 7.5262 Å, with angles of 90.00, 90.00 and 90.00 degrees. The inequivalent atoms are Pm at (0.0000, 0.0000, 0.0000), Mg at (0.0000, 0.0000, 0.5000), Ge at (0.5000, 0.5000, 0.3317), Rh at (0.0000, 0.5000, 0.2639) and Rh at (0.5000, 0.5000, 0.0000).

# 6
PmMgGe2Ru | PBE-GGA | relaxed

The mass density is 7.2 g cm⁻³. For the formation energy, the calculation gives -518 meV/atom. The calculation puts the total magnetization at 0.00 Bohr magnetons per cell.

The space group is I-4m2 (No. 119) and the conventional cell measures 4.0977, 4.0977 and 11.4311 Å, with angles of 90.00, 90.00 and 90.00 degrees. The inequivalent atoms are Pm at (0.0000, 0.0000, 0.0000), Mg at (0.0000, 0.5000, 0.2500), Ge at (0.0000, 0.0000, 0.3885) and Ru at (0.0000, 0.5000, 0.7500).

# 7
PmMgGeSb | PBE-GGA | relaxed

The mass density is 6.1 g cm⁻³. The calculation puts the uncorrected formation energy at -8.28 kcal/mol of atoms. The calculation puts the total magnetization at 0.00 Bohr magnetons per cell.

The space group is F-43m (No. 216) and the conventional cell measures 7.3550, 7.3550 and 7.3550 Å, with angles of 90.00, 90.00 and 90.00 degrees. The inequivalent atoms are Pm at (0.0000, 0.0000, 0.0000), Mg at (0.0000, 0.0000, 0.5000), Ge at (0.2500, 0.2500, 0.7500) and Sb at (0.2500, 0.2500, 0.2500).

# 8
PmSmMgGe | PBE-GGA | relaxed

The mass density is 6.4 g cm⁻³. For the formation energy, the calculation gives -374 meV/atom. The calculation puts the total magnetization at 0.00 Bohr magnetons per cell.

The space group is F-43m (No. 216) and the conventional cell measures 7.4142, 7.4142 and 7.4142 Å, with angles of 90.00, 90.00 and 90.00 degrees. The inequivalent atoms are Pm at (0.0000, 0.0000, 0.0000), Sm at (0.0000, 0.0000, 0.5000), Mg at (0.2500, 0.2500, 0.7500) and Ge at (0.2500, 0.2500, 0.2500).